Record 1
First-principles (PBE) data for a relaxed structure of Hf6ZnGa12, as listed in Alexandria. Values from VASP.

## Properties
**Calculated formation energy**: -0.27 eV per atom
**N(E_F)**: 9.29 states/eV/f.u.
**Energy**: -102.43 eV for the cell shown

Structure (Quantum ESPRESSO input):
```
&SYSTEM
  ibrav = 0, nat = 19, ntyp = 3
/
ATOMIC_SPECIES
Hf 178.49 Hf.upf
Zn 65.41 Zn.upf
Ga 69.72 Ga.upf
CELL_PARAMETERS angstrom
7.709 -0.972 -1.165
-2.130 7.472 -1.165
-2.130 -2.481 7.144
ATOMIC_POSITIONS crystal
Hf 0.623 0.914 0.420
Hf 0.580 0.377 0.086
Hf 0.086 0.580 0.377
Hf 0.377 0.086 0.580
Hf 0.420 0.623 0.914
Hf 0.914 0.420 0.623
Zn 0.000 0.000 0.000
Ga 0.819 0.708 0.549
Ga 0.549 0.819 0.708
Ga 0.708 0.549 0.819
Ga 0.181 0.292 0.451
Ga 0.451 0.181 0.292
Ga 0.292 0.451 0.181
Ga 0.903 0.823 0.276
Ga 0.177 0.724 0.097
Ga 0.724 0.097 0.177
Ga 0.097 0.177 0.724
Ga 0.823 0.276 0.903
Ga 0.276 0.903 0.823
```

Record 2
First-principles (PBE) data for a relaxed structure of PuTlZn2, as listed in Alexandria. Values from VASP.

## Properties
**Calculated formation energy**: 0.03 eV per atom
**N(E_F)**: 8.35 states/eV/f.u.
**Energy**: -19.11 eV for the cell shown

Structure (Quantum ESPRESSO input):
```
&SYSTEM
  ibrav = 0, nat = 4, ntyp = 3
/
ATOMIC_SPECIES
Tl 204.38 Tl.upf
Zn 65.41 Zn.upf
Pu 244.00 Pu.upf
CELL_PARAMETERS angstrom
3.922 0.000 0.000
0.000 4.783 0.000
0.000 0.000 4.783
ATOMIC_POSITIONS crystal
Tl 0.500 0.000 0.000
Zn 0.000 0.000 0.500
Zn 0.000 0.500 0.000
Pu 0.500 0.500 0.500
```

Record 3
First-principles (PBE) data for a relaxed structure of HgMo2Pt, as listed in Alexandria. Values from VASP.

## Properties
**Calculated formation energy**: 0.42 eV per atom
**N(E_F)**: 2.62 states/eV/f.u.
**Energy**: -26.31 eV for the cell shown

Structure (Quantum ESPRESSO input):
```
&SYSTEM
  ibrav = 0, nat = 4, ntyp = 3
/
ATOMIC_SPECIES
Hg 200.59 Hg.upf
Mo 95.94 Mo.upf
Pt 195.08 Pt.upf
CELL_PARAMETERS angstrom
-3.371 1.852 -2.488
-4.170 -1.894 0.025
-3.474 2.138 2.083
ATOMIC_POSITIONS crystal
Hg 0.500 0.500 0.500
Mo 0.000 0.000 0.000
Mo 0.250 0.250 0.250
Pt 0.750 0.750 0.750
```

Record 4
First-principles (PBE) data for a relaxed structure of NbFe2, as listed in Alexandria. Values from VASP.

## Properties
**Calculated formation energy**: -0.14 eV per atom
**N(E_F)**: 3.09 states/eV/f.u.
**Energy**: -109.68 eV for the cell shown

Structure (Quantum ESPRESSO input):
```
&SYSTEM
  ibrav = 0, nat = 12, ntyp = 2
/
ATOMIC_SPECIES
Nb 92.91 Nb.upf
Fe 55.84 Fe.upf
CELL_PARAMETERS angstrom
-4.421 -1.259 1.293
3.338 -3.349 -0.665
2.062 0.549 7.588
ATOMIC_POSITIONS crystal
Nb 0.333 0.667 0.434
Nb 0.667 0.333 0.566
Nb 0.667 0.333 0.934
Nb 0.333 0.667 0.066
Fe 0.000 0.000 0.500
Fe 0.000 0.000 0.000
Fe 0.171 0.829 0.750
Fe 0.171 0.341 0.750
Fe 0.659 0.829 0.750
Fe 0.829 0.171 0.250
Fe 0.829 0.659 0.250
Fe 0.341 0.171 0.250
```